Density functional theory data (PBE) for La2PbCl after structural relaxation. Values from VASP.

```
&SYSTEM
  ibrav = 0, nat = 4, ntyp = 3
/
ATOMIC_SPECIES
La 138.91 La.upf
Pb 207.20 Pb.upf
Cl 35.45 Cl.upf
ATOMIC_POSITIONS angstrom
La -0.0008 0.0000 1.9576
La 3.4855 0.0000 6.0868
Pb 1.8129 2.1387 0.0000
Cl -0.0705 2.1387 4.0222
CELL_PARAMETERS angstrom
3.6257 0.0000 0.0000
0.0000 4.2775 0.0000
-0.1410 0.0000 8.0444
```

Properties
Space-group type: P2/m (10)
Formation energy from raw total energies in eV/atom: -1.0332
D(E_F) in states/eV/f.u.: 3.2
Theoretical density in Mg/m³: 6.93

Density functional theory data (PBE) for CuAgRh2 after structural relaxation. Values from VASP.

```
&SYSTEM
  ibrav = 0, nat = 4, ntyp = 3
/
ATOMIC_SPECIES
Cu 63.55 Cu.upf
Ag 107.87 Ag.upf
Rh 102.91 Rh.upf
ATOMIC_POSITIONS angstrom
Cu 0.0000 0.0000 0.0000
Ag 2.3556 1.3696 0.0000
Rh -0.7819 1.3696 2.2718
Rh 1.5737 0.0000 2.2718
CELL_PARAMETERS angstrom
4.7113 0.0000 0.0000
0.0000 2.7391 0.0000
-1.5638 0.0000 4.5436
```

Properties
Space-group type: P2/m (10)
Energy of formation in kJ/mol of formula units: 75
D(E_F) in states/eV/f.u.: 6.2
Theoretical density in Mg/m³: 10.68

Density functional theory data (PBE) for RbNaAuBr2 after structural relaxation. Values from VASP.

```
&SYSTEM
  ibrav = 0, nat = 5, ntyp = 4
/
ATOMIC_SPECIES
Rb 85.47 Rb.upf
Na 22.99 Na.upf
Au 196.97 Au.upf
Br 79.90 Br.upf
ATOMIC_POSITIONS angstrom
Rb 0.0000 0.0000 0.0000
Na 2.9682 2.9682 0.0000
Au 2.9682 2.9682 2.6001
Br 0.0000 2.9682 2.6001
Br 2.9682 0.0000 2.6001
CELL_PARAMETERS angstrom
5.9364 0.0000 0.0000
0.0000 5.9364 0.0000
0.0000 0.0000 5.2002
```

Properties
Space-group type: P4/mmm (123)
Formation energy from raw total energies in eV/atom: -0.6800
D(E_F) in states/eV/f.u.: 1.1
Theoretical density in Mg/m³: 4.22

Density functional theory data (PBE) for BPdRh after structural relaxation. Values from VASP.

```
&SYSTEM
  ibrav = 0, nat = 3, ntyp = 3
/
ATOMIC_SPECIES
B 10.81 B.upf
Pd 106.42 Pd.upf
Rh 102.91 Rh.upf
ATOMIC_POSITIONS angstrom
B 0.0000 0.0000 0.0000
Pd 0.0000 0.0000 3.2407
Rh 0.0000 0.0000 5.8852
CELL_PARAMETERS angstrom
-1.3613 1.3613 4.8181
1.3613 -1.3613 4.8181
1.3613 1.3613 -4.8181
```

Properties
Space-group type: I4mm (107)
Energy of formation in kJ/mol of formula units: -23
D(E_F) in states/eV/f.u.: 1.7
Theoretical density in Mg/m³: 10.24

Density functional theory data (PBE) for Ge2MoRu after structural relaxation. Values from VASP.

```
&SYSTEM
  ibrav = 0, nat = 4, ntyp = 3
/
ATOMIC_SPECIES
Ge 72.64 Ge.upf
Mo 95.94 Mo.upf
Ru 101.07 Ru.upf
ATOMIC_POSITIONS angstrom
Ge 0.0000 2.1961 0.0000
Ge 2.1961 0.0000 0.0000
Mo 0.0000 0.0000 1.5236
Ru 2.1961 2.1961 1.5236
CELL_PARAMETERS angstrom
4.3922 0.0000 0.0000
0.0000 4.3922 0.0000
0.0000 0.0000 3.0473
```

Properties
Space-group type: P4/mmm (123)
Energy of formation in kJ/mol of formula units: -26
D(E_F) in states/eV/f.u.: 3.4
Theoretical density in Mg/m³: 9.67

Density functional theory data (PBE) for CeNpBi2 after structural relaxation. Values from VASP.

```
&SYSTEM
  ibrav = 0, nat = 4, ntyp = 3
/
ATOMIC_SPECIES
Ce 140.12 Ce.upf
Np 237.00 Np.upf
Bi 208.98 Bi.upf
ATOMIC_POSITIONS angstrom
Ce 0.0000 0.0000 0.0000
Np 0.0000 0.0000 4.0064
Bi 1.9207 1.9207 2.0408
Bi 1.9207 1.9207 5.9720
CELL_PARAMETERS angstrom
3.8413 0.0000 0.0000
0.0000 3.8413 0.0000
0.0000 0.0000 8.0128
```

Properties
Space-group type: P4/mmm (123)
Energy of formation in kJ/mol of formula units: -96
D(E_F) in states/eV/f.u.: 15.6
Theoretical density in Mg/m³: 11.17

Density functional theory data (PBE) for In4NiBr after structural relaxation. Values from VASP.

```
&SYSTEM
  ibrav = 0, nat = 6, ntyp = 3
/
ATOMIC_SPECIES
In 114.82 In.upf
Ni 58.69 Ni.upf
Br 79.90 Br.upf
ATOMIC_POSITIONS angstrom
In 1.0741 1.0741 1.0741
In 3.2473 3.2473 1.0741
In 3.2473 1.0741 3.2473
In 1.0741 3.2473 3.2473
Ni 6.4822 6.4822 6.4822
Br 4.3214 4.3214 4.3214
CELL_PARAMETERS angstrom
0.0000 4.3214 4.3214
4.3214 0.0000 4.3214
4.3214 4.3214 0.0000
```

Properties
Space-group type: F-43m (216)
Formation energy from raw total energies in eV/atom: 0.3977
D(E_F) in states/eV/f.u.: 6.4
Theoretical density in Mg/m³: 6.15

Density functional theory data (PBE) for Cs2LiAs after structural relaxation. Values from VASP.

```
&SYSTEM
  ibrav = 0, nat = 4, ntyp = 3
/
ATOMIC_SPECIES
Cs 132.91 Cs.upf
Li 6.94 Li.upf
As 74.92 As.upf
ATOMIC_POSITIONS angstrom
Cs 2.1757 2.1757 2.1757
Cs 6.5270 6.5270 6.5270
Li 0.0000 0.0000 0.0000
As 4.3514 4.3514 4.3514
CELL_PARAMETERS angstrom
0.0000 4.3514 4.3514
4.3514 0.0000 4.3514
4.3514 4.3514 0.0000
```

Properties
Space-group type: Fm-3m (225)
Energy of formation in kJ/mol of formula units: 16
D(E_F) in states/eV/f.u.: 1.1
Theoretical density in Mg/m³: 3.50

Density functional theory data (PBE) for Cu2RhSe after structural relaxation. Values from VASP.

```
&SYSTEM
  ibrav = 0, nat = 4, ntyp = 3
/
ATOMIC_SPECIES
Cu 63.55 Cu.upf
Rh 102.91 Rh.upf
Se 78.96 Se.upf
ATOMIC_POSITIONS angstrom
Cu 0.0000 0.0000 0.0000
Cu 1.6606 2.0387 0.0000
Rh 0.0000 2.0387 2.0922
Se 1.6606 0.0000 2.0922
CELL_PARAMETERS angstrom
3.3212 0.0000 0.0000
0.0000 4.0773 0.0000
0.0000 0.0000 4.1844
```

Properties
Space-group type: Pmmm (47)
Formation energy from raw total energies in eV/atom: 0.1148
D(E_F) in states/eV/f.u.: 2.9
Theoretical density in Mg/m³: 9.05

Density functional theory data (PBE) for BaGeSbI2 after structural relaxation. Values from VASP.

```
&SYSTEM
  ibrav = 0, nat = 5, ntyp = 4
/
ATOMIC_SPECIES
Ba 137.33 Ba.upf
Ge 72.64 Ge.upf
Sb 121.76 Sb.upf
I 126.90 I.upf
ATOMIC_POSITIONS angstrom
Ba 0.0000 0.0000 0.0000
Ge 3.2804 3.2804 3.4820
Sb 0.0000 0.0000 3.4820
I 0.0000 3.2804 0.0000
I 3.2804 0.0000 0.0000
CELL_PARAMETERS angstrom
6.5609 0.0000 0.0000
0.0000 6.5609 0.0000
0.0000 0.0000 6.9639
```

Properties
Space-group type: P4/mmm (123)
Formation energy from raw total energies in eV/atom: 0.2507
D(E_F) in states/eV/f.u.: 8.5
Theoretical density in Mg/m³: 3.24

Density functional theory data (PBE) for DyHo3Sn after structural relaxation. Values from VASP.

```
&SYSTEM
  ibrav = 0, nat = 10, ntyp = 3
/
ATOMIC_SPECIES
Dy 162.50 Dy.upf
Ho 164.93 Ho.upf
Sn 118.71 Sn.upf
ATOMIC_POSITIONS angstrom
Dy 0.0000 0.0000 0.0000
Dy 6.9350 4.0465 7.7508
Ho 4.0104 4.2856 2.9979
Ho 2.4771 1.4091 1.9476
Ho 4.4844 2.5921 5.8007
Ho 7.3672 4.3473 1.9444
Ho 9.3781 5.5324 5.8090
Ho 7.8431 2.6545 4.7529
Sn 6.1199 5.5162 4.9549
Sn 5.7355 1.4213 2.7959
CELL_PARAMETERS angstrom
6.6125 0.0000 0.0000
3.2364 5.7668 0.0000
2.0191 1.1680 7.7526
```

Properties
Space-group type: P1 (1)
Energy of formation in kJ/mol of formula units: -99
D(E_F) in states/eV/f.u.: 6.3
Theoretical density in Mg/m³: 8.72

Density functional theory data (PBE) for LaBeSbAu2 after structural relaxation. Values from VASP.

```
&SYSTEM
  ibrav = 0, nat = 5, ntyp = 4
/
ATOMIC_SPECIES
La 138.91 La.upf
Be 9.01 Be.upf
Sb 121.76 Sb.upf
Au 196.97 Au.upf
ATOMIC_POSITIONS angstrom
La 0.0000 0.0000 0.0000
Be 2.3210 2.3210 2.5732
Sb 2.3210 2.3210 0.0000
Au 0.0000 2.3210 2.5732
Au 2.3210 0.0000 2.5732
CELL_PARAMETERS angstrom
4.6420 0.0000 0.0000
0.0000 4.6420 0.0000
0.0000 0.0000 5.1464
```

Properties
Space-group type: P4/mmm (123)
Formation energy from raw total energies in eV/atom: -0.4513
D(E_F) in states/eV/f.u.: 1.7
Theoretical density in Mg/m³: 9.94

Density functional theory data (PBE) for Zr2TaCl after structural relaxation. Values from VASP.

```
&SYSTEM
  ibrav = 0, nat = 4, ntyp = 3
/
ATOMIC_SPECIES
Zr 91.22 Zr.upf
Ta 180.95 Ta.upf
Cl 35.45 Cl.upf
ATOMIC_POSITIONS angstrom
Zr 0.0000 0.0000 2.0848
Zr 0.0000 0.0000 7.1766
Ta 0.0000 2.8131 0.0000
Cl 1.5867 0.0000 0.0000
CELL_PARAMETERS angstrom
-1.5867 2.8131 4.6307
1.5867 -2.8131 4.6307
1.5867 2.8131 -4.6307
```

Properties
Space-group type: Immm (71)
Formation energy from raw total energies in eV/atom: 0.1805
D(E_F) in states/eV/f.u.: 4.5
Theoretical density in Mg/m³: 8.01

Density functional theory data (PBE) for Sr5Br3 after structural relaxation. Values from VASP.

```
&SYSTEM
  ibrav = 0, nat = 16, ntyp = 2
/
ATOMIC_SPECIES
Sr 87.62 Sr.upf
Br 79.90 Br.upf
ATOMIC_POSITIONS angstrom
Sr -1.1514 1.9943 1.9280
Sr -3.9288 6.8050 5.7841
Sr 2.3028 0.0000 1.9280
Sr 1.1514 1.9943 5.7841
Sr 0.0000 5.8661 0.0000
Sr 0.0000 5.8661 3.8561
Sr 5.0802 2.9331 0.0000
Sr 5.0802 2.9331 3.8561
Sr 7.8577 0.0000 5.7841
Sr 3.9288 6.8050 1.9280
Br -2.3849 4.1307 5.7841
Br -2.6954 4.6685 1.9280
Br 4.7697 0.0000 5.7841
Br 2.3849 4.1307 1.9280
Br 5.3907 0.0000 1.9280
Br 2.6954 4.6685 5.7841
CELL_PARAMETERS angstrom
10.1605 0.0000 0.0000
-5.0802 8.7992 0.0000
0.0000 0.0000 7.7122
```

Properties
Space-group type: P6_3/mcm (193)
Formation energy from raw total energies in eV/atom: -0.8030
D(E_F) in states/eV/f.u.: 6.3
Theoretical density in Mg/m³: 3.26

Density functional theory data (PBE) for KLi4Tl6 after structural relaxation. Values from VASP.

```
&SYSTEM
  ibrav = 0, nat = 11, ntyp = 3
/
ATOMIC_SPECIES
K 39.10 K.upf
Li 6.94 Li.upf
Tl 204.38 Tl.upf
ATOMIC_POSITIONS angstrom
K 0.0000 0.0000 0.0000
Li 0.0000 4.8243 0.0000
Li 2.5781 1.4885 2.3483
Li 5.7779 1.4885 2.3483
Li 4.1780 4.2596 2.3483
Tl 0.0000 2.9031 2.3483
Tl -1.6639 5.7850 2.3483
Tl 4.1780 0.4850 0.0000
Tl 2.5090 3.3757 0.0000
Tl 1.6639 5.7850 2.3483
Tl 5.8469 3.3757 0.0000
CELL_PARAMETERS angstrom
8.3560 0.0000 0.0000
-4.1780 7.2365 0.0000
0.0000 0.0000 4.6967
```

Properties
Space-group type: P-6m2 (187)
Energy of formation in kJ/mol of formula units: -159
D(E_F) in states/eV/f.u.: 3.7
Theoretical density in Mg/m³: 7.56

Density functional theory data (PBE) for NaCd8Rh4 after structural relaxation. Values from VASP.

```
&SYSTEM
  ibrav = 0, nat = 13, ntyp = 3
/
ATOMIC_SPECIES
Na 22.99 Na.upf
Cd 112.41 Cd.upf
Rh 102.91 Rh.upf
ATOMIC_POSITIONS angstrom
Na 0.0000 0.0000 0.0000
Cd 2.8818 0.0000 0.0000
Cd 6.4618 0.0000 0.0000
Cd 4.6718 2.5145 0.0000
Cd 0.0000 2.8818 0.0000
Cd 2.5145 4.6718 0.0000
Cd 2.1573 0.0000 2.9861
Cd 0.0000 6.4618 0.0000
Cd 0.0000 2.1573 2.9861
Rh 2.3359 2.3359 -1.4930
Rh 2.3359 -2.3359 1.4930
Rh -2.3359 2.3359 1.4930
Rh 2.3359 2.3359 1.4930
CELL_PARAMETERS angstrom
-4.6718 4.6718 2.9861
4.6718 -4.6718 2.9861
4.6718 4.6718 -2.9861
```

Properties
Space-group type: I4/mmm (139)
Energy of formation in kJ/mol of formula units: -201
D(E_F) in states/eV/f.u.: 4.8
Theoretical density in Mg/m³: 8.50

Density functional theory data (PBE) for Zr6In3Os after structural relaxation. Values from VASP.

```
&SYSTEM
  ibrav = 0, nat = 20, ntyp = 3
/
ATOMIC_SPECIES
Zr 91.22 Zr.upf
In 114.82 In.upf
Os 190.23 Os.upf
ATOMIC_POSITIONS angstrom
Zr -2.3023 1.6954 4.3589
Zr -4.9702 2.6161 9.2996
Zr -0.4115 5.7323 4.5228
Zr -3.0794 7.2020 9.4635
Zr 0.8406 0.8150 2.3092
Zr -1.8273 3.4965 7.2499
Zr 1.9154 5.1264 2.6315
Zr -0.7525 7.8079 7.5722
Zr 3.1675 1.4209 0.4179
Zr 0.4996 2.8906 5.3586
Zr 5.0583 6.0068 0.5818
Zr 2.3904 6.9275 5.5226
In -3.3934 0.8354 7.3517
In -0.7255 3.4761 2.4110
In 0.0440 0.0000 4.9407
In 2.7119 4.3114 0.0000
In 0.8136 5.1468 7.4704
In 3.4815 7.7875 2.5297
Os 0.0000 0.0000 0.0000
Os -2.6679 4.3114 4.9407
CELL_PARAMETERS angstrom
5.4239 0.0000 0.0000
0.0000 8.6229 0.0000
-5.3358 0.0000 9.8814
```

Properties
Space-group type: P2_1/c (14)
Energy of formation in kJ/mol of formula units: -99
D(E_F) in states/eV/f.u.: 9.3
Theoretical density in Mg/m³: 7.78

Density functional theory data (PBE) for Pm3Dy5Y4 after structural relaxation. Values from VASP.

```
&SYSTEM
  ibrav = 0, nat = 12, ntyp = 3
/
ATOMIC_SPECIES
Pm 145.00 Pm.upf
Dy 162.50 Dy.upf
Y 88.91 Y.upf
ATOMIC_POSITIONS angstrom
Pm 0.0000 0.0000 0.0000
Pm 1.0144 5.3665 5.8462
Pm 5.1521 1.7853 2.9145
Dy -0.0113 3.5793 0.0000
Dy 2.0721 0.0022 2.9161
Dy 3.0933 1.7916 0.0038
Dy 3.0733 5.3601 8.7569
Dy 4.0944 7.1495 5.8446
Y 1.0271 1.7820 5.8422
Y 2.0491 3.5779 2.9105
Y 4.1174 3.5739 5.8502
Y 5.1394 5.3698 2.9185
CELL_PARAMETERS angstrom
6.1961 0.0000 0.0000
-0.0226 7.1586 0.0000
-0.0069 -0.0068 8.7607
```

Properties
Space-group type: P-1 (2)
Energy of formation in kJ/mol of formula units: 20
D(E_F) in states/eV/f.u.: 16.0
Theoretical density in Mg/m³: 6.85

Density functional theory data (PBE) for RbAsO3 after structural relaxation. Values from VASP.

```
&SYSTEM
  ibrav = 0, nat = 10, ntyp = 3
/
ATOMIC_SPECIES
Rb 85.47 Rb.upf
As 74.92 As.upf
O 16.00 O.upf
ATOMIC_POSITIONS angstrom
Rb 0.8815 1.6728 2.3518
Rb 4.1552 5.0183 3.4787
As 1.9133 5.0183 0.5898
As 3.1235 1.6728 5.2406
O 1.3598 0.9017 5.2859
O 1.3598 2.4438 5.2859
O 1.4966 5.0183 2.2310
O 3.5401 1.6728 3.5995
O 3.6769 4.2473 0.5446
O 3.6769 5.7894 0.5446
CELL_PARAMETERS angstrom
5.2493 0.0000 0.0000
0.0000 6.6911 0.0000
-0.2126 0.0000 5.8305
```

Properties
Space-group type: P2_1/m (11)
Formation energy from raw total energies in eV/atom: -0.9828
D(E_F) in states/eV/f.u.: 0.0
Theoretical density in Mg/m³: 3.38

Density functional theory data (PBE) for TbGa6Tc2 after structural relaxation. Values from VASP.

```
&SYSTEM
  ibrav = 0, nat = 9, ntyp = 3
/
ATOMIC_SPECIES
Tb 158.93 Tb.upf
Ga 69.72 Ga.upf
Tc 98.00 Tc.upf
ATOMIC_POSITIONS angstrom
Tb 0.0000 0.0000 0.0000
Ga 1.7719 1.3387 -2.3518
Ga 1.7719 2.2093 0.0000
Ga 1.7719 1.3387 2.3518
Ga 0.0000 2.0459 4.0621
Ga 0.0000 1.1752 6.4139
Ga 0.0000 2.0459 8.7658
Tc 1.7719 0.0000 4.7250
Tc 0.0000 3.3845 1.6889
CELL_PARAMETERS angstrom
-1.7719 3.3845 6.4139
1.7719 -3.3845 6.4139
1.7719 3.3845 -6.4139
```

Properties
Space-group type: Immm (71)
Energy of formation in kJ/mol of formula units: -169
D(E_F) in states/eV/f.u.: 3.8
Theoretical density in Mg/m³: 8.35